# RbBeCrF6

Crystalline RbBeCrF6 at its relaxed geometry (PBE+U, the Alexandria database).

Lattice parameters (Å, degrees): 4.9883 4.9883 6.2088 90.00 90.00 120.00
Space group P312 (No. 149)
Asymmetric unit:
Rb: 0.0000 0.0000 0.0000 [1 per cell]
Be: 0.6667 0.3333 0.5000 [1 per cell]
Cr: 0.3333 0.6667 0.5000 [1 per cell]
F: 0.3886 0.0241 0.6649 [6 per cell]

Calculated values
Total DFT energy (no corrections), Ry/atom: -0.403
M_tot, μB/f.u.: 3.0